{
  "formula": "KNbSeO6",
  "functional": "PBE",
  "state": "relaxed",
  "space_group": "P-31c",
  "lattice_angstrom": [[5.210, 0.000, 0.000], [-2.605, 4.512, 0.000], [0.000, 0.000, 11.931]],
  "species": ["K", "K", "Nb", "Nb", "Se", "Se", "O", "O", "O", "O", "O", "O", "O", "O", "O", "O", "O", "O"],
  "frac_coords": [[0.000, 0.000, 0.000], [0.000, 0.000, 0.500], [0.333, 0.667, 0.250], [0.667, 0.333, 0.750], [0.333, 0.667, 0.750], [0.667, 0.333, 0.250], [0.027, 0.401, 0.661], [0.027, 0.625, 0.839], [0.375, 0.401, 0.839], [0.375, 0.973, 0.661], [0.401, 0.027, 0.161], [0.401, 0.375, 0.339], [0.599, 0.625, 0.661], [0.599, 0.973, 0.839], [0.625, 0.027, 0.339], [0.625, 0.599, 0.161], [0.973, 0.375, 0.161], [0.973, 0.599, 0.339]]
}

{
  "formula": "K4Nb2Si8O23",
  "functional": "PBE",
  "state": "relaxed",
  "space_group": "P-1",
  "lattice_angstrom": [[6.851, 0.000, 0.000], [2.470, 7.607, 0.000], [0.044, 2.800, 10.762]],
  "species": ["K", "K", "K", "K", "Nb", "Nb", "Si", "Si", "Si", "Si", "Si", "Si", "Si", "Si", "O", "O", "O", "O", "O", "O", "O", "O", "O", "O", "O", "O", "O", "O", "O", "O", "O", "O", "O", "O", "O", "O", "O"],
  "frac_coords": [[0.172, 0.312, 0.357], [0.222, 0.252, 0.024], [0.778, 0.748, 0.976], [0.828, 0.688, 0.643], [0.287, 0.719, 0.801], [0.713, 0.281, 0.199], [0.021, 0.177, 0.728], [0.325, 0.696, 0.486], [0.327, 0.701, 0.121], [0.478, 0.096, 0.719], [0.522, 0.904, 0.281], [0.673, 0.299, 0.879], [0.675, 0.304, 0.514], [0.979, 0.823, 0.272], [0.055, 0.962, 0.757], [0.083, 0.743, 0.155], [0.113, 0.593, 0.855], [0.128, 0.700, 0.399], [0.235, 0.225, 0.705], [0.248, 0.725, 0.618], [0.347, 0.747, 0.973], [0.411, 0.845, 0.173], [0.423, 0.852, 0.415], [0.448, 0.489, 0.187], [0.494, 0.117, 0.245], [0.500, 0.500, 0.500], [0.506, 0.883, 0.755], [0.552, 0.511, 0.813], [0.577, 0.148, 0.585], [0.589, 0.155, 0.827], [0.653, 0.253, 0.027], [0.752, 0.275, 0.382], [0.765, 0.775, 0.295], [0.872, 0.300, 0.601], [0.887, 0.407, 0.145], [0.917, 0.257, 0.845], [0.945, 0.038, 0.243]]
}

{
  "formula": "K3Nb3Si2O13",
  "functional": "PBE",
  "state": "relaxed",
  "space_group": "P-62m",
  "e_above_lowest_polymorph_mev_per_atom": 7,
  "lattice_angstrom": [[9.257, 0.000, 0.000], [-4.629, 8.017, 0.000], [0.000, 0.000, 7.924]],
  "species": ["K", "K", "K", "K", "K", "K", "Nb", "Nb", "Nb", "Nb", "Nb", "Nb", "Si", "Si", "Si", "Si", "O", "O", "O", "O", "O", "O", "O", "O", "O", "O", "O", "O", "O", "O", "O", "O", "O", "O", "O", "O", "O", "O", "O", "O", "O", "O"],
  "frac_coords": [[0.000, 0.596, 0.000], [0.000, 0.611, 0.500], [0.389, 0.389, 0.500], [0.404, 0.404, 0.000], [0.596, 0.000, 0.000], [0.611, 0.000, 0.500], [0.000, 0.238, 0.250], [0.000, 0.238, 0.750], [0.238, 0.000, 0.250], [0.238, 0.000, 0.750], [0.762, 0.762, 0.250], [0.762, 0.762, 0.750], [0.333, 0.667, 0.291], [0.333, 0.667, 0.709], [0.667, 0.333, 0.291], [0.667, 0.333, 0.709], [0.000, 0.232, 0.000], [0.000, 0.270, 0.500], [0.000, 0.826, 0.265], [0.000, 0.826, 0.735], [0.174, 0.174, 0.265], [0.174, 0.174, 0.735], [0.183, 0.487, 0.229], [0.183, 0.487, 0.771], [0.232, 0.000, 0.000], [0.270, 0.000, 0.500], [0.304, 0.817, 0.229], [0.304, 0.817, 0.771], [0.333, 0.667, 0.500], [0.487, 0.183, 0.229], [0.487, 0.183, 0.771], [0.513, 0.696, 0.229], [0.513, 0.696, 0.771], [0.667, 0.333, 0.500], [0.696, 0.513, 0.229], [0.696, 0.513, 0.771], [0.730, 0.730, 0.500], [0.768, 0.768, 0.000], [0.817, 0.304, 0.229], [0.817, 0.304, 0.771], [0.826, 0.000, 0.265], [0.826, 0.000, 0.735]]
}

{
  "formula": "K3Nb3Si2O13",
  "functional": "PBE",
  "state": "relaxed",
  "space_group": "P-62c",
  "e_above_lowest_polymorph_mev_per_atom": 0,
  "lattice_angstrom": [[9.248, 0.000, 0.000], [-4.624, 8.009, 0.000], [0.000, 0.000, 7.959]],
  "species": ["K", "K", "K", "K", "K", "K", "Nb", "Nb", "Nb", "Nb", "Nb", "Nb", "Si", "Si", "Si", "Si", "O", "O", "O", "O", "O", "O", "O", "O", "O", "O", "O", "O", "O", "O", "O", "O", "O", "O", "O", "O", "O", "O", "O", "O", "O", "O"],
  "frac_coords": [[0.032, 0.416, 0.250], [0.384, 0.968, 0.250], [0.416, 0.032, 0.750], [0.584, 0.616, 0.250], [0.616, 0.584, 0.750], [0.968, 0.384, 0.750], [0.000, 0.762, 0.000], [0.000, 0.762, 0.500], [0.238, 0.238, 0.000], [0.238, 0.238, 0.500], [0.762, 0.000, 0.000], [0.762, 0.000, 0.500], [0.333, 0.667, 0.544], [0.333, 0.667, 0.956], [0.667, 0.333, 0.044], [0.667, 0.333, 0.456], [0.000, 0.175, 0.000], [0.000, 0.175, 0.500], [0.012, 0.753, 0.750], [0.175, 0.000, 0.000], [0.175, 0.000, 0.500], [0.182, 0.694, 0.020], [0.182, 0.694, 0.480], [0.247, 0.259, 0.750], [0.259, 0.247, 0.250], [0.306, 0.488, 0.020], [0.306, 0.488, 0.480], [0.333, 0.667, 0.750], [0.488, 0.306, 0.520], [0.488, 0.306, 0.980], [0.512, 0.818, 0.020], [0.512, 0.818, 0.480], [0.667, 0.333, 0.250], [0.694, 0.182, 0.520], [0.694, 0.182, 0.980], [0.741, 0.988, 0.750], [0.753, 0.012, 0.250], [0.818, 0.512, 0.520], [0.818, 0.512, 0.980], [0.825, 0.825, 0.000], [0.825, 0.825, 0.500], [0.988, 0.741, 0.250]]
}

{
  "formula": "K3SmNb2O8",
  "functional": "PBE",
  "state": "relaxed",
  "space_group": "P-3m1",
  "lattice_angstrom": [[6.274, 0.000, 0.000], [-3.137, 5.434, 0.000], [0.000, 0.000, 7.803]],
  "species": ["K", "K", "K", "Sm", "Nb", "Nb", "O", "O", "O", "O", "O", "O", "O", "O"],
  "frac_coords": [[0.000, 0.000, 0.000], [0.333, 0.667, 0.674], [0.667, 0.333, 0.326], [0.000, 0.000, 0.500], [0.333, 0.667, 0.229], [0.667, 0.333, 0.771], [0.171, 0.342, 0.319], [0.171, 0.829, 0.319], [0.333, 0.667, 0.996], [0.342, 0.171, 0.681], [0.658, 0.829, 0.319], [0.667, 0.333, 0.004], [0.829, 0.171, 0.681], [0.829, 0.658, 0.681]]
}

{
  "formula": "K3Sm3NbO8",
  "functional": "PBE",
  "state": "relaxed",
  "space_group": "R-3m",
  "lattice_angstrom": [[3.496, 2.019, 6.296], [-3.496, 2.019, 6.296], [0.000, -4.037, 6.296]],
  "species": ["K", "K", "K", "Sm", "Sm", "Sm", "Nb", "O", "O", "O", "O", "O", "O", "O", "O"],
  "frac_coords": [[0.000, 0.500, 0.500], [0.500, 0.000, 0.500], [0.500, 0.500, 0.000], [0.000, 0.000, 0.500], [0.000, 0.500, 0.000], [0.500, 0.000, 0.000], [0.500, 0.500, 0.500], [0.230, 0.230, 0.230], [0.254, 0.709, 0.709], [0.291, 0.291, 0.746], [0.291, 0.746, 0.291], [0.709, 0.254, 0.709], [0.709, 0.709, 0.254], [0.746, 0.291, 0.291], [0.770, 0.770, 0.770]]
}

{
  "formula": "K2SmNb5O15",
  "functional": "PBE",
  "state": "relaxed",
  "space_group": "P4/mbm",
  "lattice_angstrom": [[12.772, 0.000, 0.000], [0.000, 12.772, 0.000], [0.000, 0.000, 3.962]],
  "species": ["K", "K", "K", "K", "Sm", "Sm", "Nb", "Nb", "Nb", "Nb", "Nb", "Nb", "Nb", "Nb", "Nb", "Nb", "O", "O", "O", "O", "O", "O", "O", "O", "O", "O", "O", "O", "O", "O", "O", "O", "O", "O", "O", "O", "O", "O", "O", "O", "O", "O", "O", "O", "O", "O"],
  "frac_coords": [[0.171, 0.329, 0.000], [0.329, 0.829, 0.000], [0.671, 0.171, 0.000], [0.829, 0.671, 0.000], [0.000, 0.000, 0.000], [0.500, 0.500, 0.000], [0.000, 0.500, 0.500], [0.076, 0.787, 0.500], [0.213, 0.076, 0.500], [0.287, 0.576, 0.500], [0.424, 0.287, 0.500], [0.500, 0.000, 0.500], [0.576, 0.713, 0.500], [0.713, 0.424, 0.500], [0.787, 0.924, 0.500], [0.924, 0.213, 0.500], [0.000, 0.500, 0.000], [0.001, 0.342, 0.500], [0.059, 0.132, 0.500], [0.079, 0.812, 0.000], [0.132, 0.941, 0.500], [0.158, 0.499, 0.500], [0.188, 0.079, 0.000], [0.216, 0.716, 0.500], [0.284, 0.216, 0.500], [0.312, 0.579, 0.000], [0.342, 0.999, 0.500], [0.368, 0.441, 0.500], [0.421, 0.312, 0.000], [0.441, 0.632, 0.500], [0.499, 0.842, 0.500], [0.500, 0.000, 0.000], [0.501, 0.158, 0.500], [0.559, 0.368, 0.500], [0.579, 0.688, 0.000], [0.632, 0.559, 0.500], [0.658, 0.001, 0.500], [0.688, 0.421, 0.000], [0.716, 0.784, 0.500], [0.784, 0.284, 0.500], [0.812, 0.921, 0.000], [0.842, 0.501, 0.500], [0.868, 0.059, 0.500], [0.921, 0.188, 0.000], [0.941, 0.868, 0.500], [0.999, 0.658, 0.500]]
}

{
  "formula": "KSmNbO5",
  "functional": "PBE",
  "state": "relaxed",
  "space_group": "C2/c",
  "lattice_angstrom": [[3.771, -5.153, 0.000], [3.771, 5.153, 0.000], [-3.184, 0.000, 8.121]],
  "species": ["K", "K", "Sm", "Sm", "Nb", "Nb", "O", "O", "O", "O", "O", "O", "O", "O", "O", "O"],
  "frac_coords": [[0.164, 0.836, 0.750], [0.836, 0.164, 0.250], [0.500, 0.500, 0.000], [0.500, 0.500, 0.500], [0.189, 0.811, 0.250], [0.811, 0.189, 0.750], [0.113, 0.268, 0.887], [0.198, 0.609, 0.376], [0.268, 0.113, 0.387], [0.391, 0.802, 0.124], [0.420, 0.580, 0.750], [0.580, 0.420, 0.250], [0.609, 0.198, 0.876], [0.732, 0.887, 0.613], [0.802, 0.391, 0.624], [0.887, 0.732, 0.113]]
}

Formation energy (no corrections) per entry: -1.555, -2.663, -2.558, -2.565, -2.552, -2.614, -2.632, -2.456 eV/atom
Volume per entry: 15.579, 15.158, 14.003, 14.037, 19.002, 17.773, 14.051, 19.728 Å³/atom